Entry 1:
Computed, not measured: a geometry-optimized Li3NiHg structure at the PBE level of DFT.

Geometry as CIF:
```
data_Li3NiHg
_chemical_formula_sum 'Li3 Ni1 Hg1'
_cell_length_a 4.5391
_cell_length_b 4.5391
_cell_length_c 4.5391
_cell_angle_alpha 90.00
_cell_angle_beta 90.00
_cell_angle_gamma 90.00
_space_group_name_H-M_alt 'P m -3 m'
_space_group_IT_number 221
_space_group_name_Hall '-P 4 2 3'
loop_
_atom_site_label
_atom_site_fract_x
_atom_site_fract_y
_atom_site_fract_z
Li1 0.0000 0.0000 0.5000
Ni1 0.0000 0.0000 0.0000
Hg1 0.5000 0.5000 0.5000
```

Output
Energy above the most stable polymorph in this dataset ... 0 meV/atom
E_form ... 0.181 eV per atom

=====

Entry 2:
Computed, not measured: a geometry-optimized Pm6Y3Ho2Sc structure at the PBE level of DFT.

Geometry as CIF:
```
data_Pm6Y3Ho2Sc
_chemical_formula_sum 'Pm12 Y6 Ho4 Sc2'
_cell_length_a 6.2162
_cell_length_b 10.7640
_cell_length_c 11.7462
_cell_angle_alpha 90.00
_cell_angle_beta 100.13
_cell_angle_gamma 90.00
_space_group_name_H-M_alt 'C 1 2/m 1'
_space_group_IT_number 12
loop_
_space_group_symop_operation_xyz
'x,y,z'
'-x,-y,-z'
'-x,y,-z'
'x,-y,z'
'x+1/2,y+1/2,z'
'-x+1/2,-y+1/2,-z'
'-x+1/2,y+1/2,-z'
'x+1/2,-y+1/2,z'
loop_
_atom_site_label
_atom_site_fract_x
_atom_site_fract_y
_atom_site_fract_z
Pm1 0.2470 0.1653 0.2460
Pm2 0.2491 0.0000 0.7537
Y1 0.0000 0.1666 0.5000
Y2 0.0000 0.5000 0.5000
Ho1 0.0000 0.3334 0.0000
Sc1 0.0000 0.0000 0.0000
```

Output
E_form ... 0.023 eV per atom

=====

Number 1: total magnetization 0.0 Bohr magnetons per cell, volume 18.70 Å³ per atom. Number 2: total magnetization 0.0 Bohr magnetons per cell, volume 32.24 Å³ per atom.